[1]
The following is a DFT calculation (PBE) of an optimized crystal structure of BiAsS2N.

It has space group P4/mmm (No. 123), with a = 5.2453 Å, b = 5.2453 Å, c = 4.1305 Å, α = 90.00°, β = 90.00° and γ = 90.00°. The asymmetric unit holds Bi at (0.0000, 0.0000, 0.0000), As at (0.5000, 0.5000, 0.5000), S at (0.0000, 0.5000, 0.0000) and N at (0.0000, 0.0000, 0.5000).

The calculation puts the excess energy over the best structure of this formula in the dataset at 743 meV per atom. Its density is 5.3 g/cm³. For the total energy, the calculation gives -0.136 hartree per atom. The energy relative to the elements, uncorrected comes out at 1322 meV/atom. The value obtained for the density of states at the Fermi level is 4.37 states/eV/cell.


[2]
The following is a DFT calculation (PBE) of an optimized crystal structure of PRuRh2.

It has space group Pmmm (No. 47), with a = 2.7857 Å, b = 4.4264 Å, c = 4.4705 Å, α = 90.00°, β = 90.00° and γ = 90.00°. The asymmetric unit holds P at (0.0000, 0.0000, 0.0000), Ru at (0.5000, 0.5000, 0.0000), Rh at (0.0000, 0.5000, 0.5000) and Rh at (0.5000, 0.0000, 0.5000).

For the energy of formation from the pure elements, the calculation gives 0.071 eV/atom. Its density is 10.2 g/cm³. For the total energy, the calculation gives -0.267 hartree per atom. The value obtained for the density of states at the Fermi level is 5.09 states/eV/cell.


[3]
The following is a DFT calculation (PBE) of an optimized crystal structure of Sr2Mg4CdPb3.

It has space group P-4m2 (No. 115), with a = 4.7917 Å, b = 4.7917 Å, c = 12.6847 Å, α = 90.00°, β = 90.00° and γ = 90.00°. The asymmetric unit holds Sr at (0.0000, 0.5000, 0.2489), Mg at (0.0000, 0.0000, 0.5000), Mg at (0.0000, 0.5000, 0.8649), Mg at (0.5000, 0.5000, 0.5000), Cd at (0.5000, 0.5000, 0.0000), Pb at (0.0000, 0.0000, 0.0000) and Pb at (0.0000, 0.5000, 0.6404).

For the energy of formation from the pure elements, the calculation gives -0.292 eV/atom. Its density is 5.7 g/cm³. For the total energy, the calculation gives -0.091 hartree per atom. The value obtained for the density of states at the Fermi level is 1.54 states/eV/cell.